# PBE+U TmZrCr2O6, relaxed
# Mass density = 6214 kg/m3
# Total energy = -8.460 eV per atom
# Space-group type = No. 1
data_TmZrCr2O6
_chemical_formula_sum 'Tm1 Zr1 Cr2 O6'
_symmetry_space_group_name_H-M 'P 1'
_symmetry_Int_Tables_number 1
_cell_length_a 5.3274
_cell_length_b 5.4251
_cell_length_c 5.6826
_cell_angle_alpha 63.07
_cell_angle_beta 89.91
_cell_angle_gamma 61.00
loop_
_symmetry_equiv_pos_as_xyz
'x,y,z'
loop_
_atom_site_label
_atom_site_type_symbol
_atom_site_fract_x
_atom_site_fract_y
_atom_site_fract_z
Tm1 Tm 0.0000 0.0000 0.0000
Zr1 Zr 0.5131 0.9810 0.5245
Cr1 Cr 0.2144 0.5741 0.6235
Cr2 Cr 0.7210 0.5573 0.1462
O1 O 0.1387 0.0310 0.3579
O2 O 0.3142 0.1121 0.8135
O3 O 0.4258 0.4569 0.3489
O4 O 0.5854 0.4887 0.8359
O5 O 0.8257 0.7546 0.3476
O6 O 0.9280 0.7374 0.8357